A geometry-optimized Ac2NdCoO6 structure, computed with PBE with a Hubbard U.

Results
total moment	0.011	μB per atom
E_tot	-7.4396	eV per atom

abc: 10.0492 5.8151 5.9700
angles: 90.00 123.70 90.00
Space group C2/m (No. 12)
Inequivalent atoms, fractional coordinates:
Ac  0.2430  0.0000  0.2263
Nd  0.0000  0.0000  0.5000
Co  0.0000  0.5000  0.0000
O  0.0549  0.2649  0.8296
O  0.2265  0.5000  0.3193